1.
Computed, not measured: an optimized crystal structure of Sc4AlOs2 at the PBE level of DFT.

Calculated formation energy = -0.384 eV per atom
M_tot = 0.00 μB/atom

Structure (CIF):
```
data_Sc4AlOs2
_chemical_formula_sum 'Sc12 Al3 Os6'
_cell_length_a 4.6234
_cell_length_b 4.6234
_cell_length_c 21.7861
_cell_angle_alpha 90.00
_cell_angle_beta 90.00
_cell_angle_gamma 120.00
_symmetry_space_group_name_H-M 'R -3 m'
_symmetry_Int_Tables_number 166
_symmetry_space_group_name_Hall '-R 3 2"'
loop_
_atom_site_label
_atom_site_type_symbol
_atom_site_fract_x
_atom_site_fract_y
_atom_site_fract_z
_atom_site_occupancy
Sc1 Sc 0.0000 0.0000 0.1144 1
Sc2 Sc 0.0000 0.0000 0.3681 1
Al1 Al 0.0000 0.0000 0.5000 1
Os1 Os 0.0000 0.0000 0.2439 1
```

---

2.
Computed, not measured: an optimized crystal structure of TiAg2PbF8 at the PBE level of DFT.

Energy relative to the elements, uncorrected = -2326 meV per atom
M_tot = 0.00 μB/atom

Structure (CIF):
```
data_TiAg2PbF8
_chemical_formula_sum 'Ti1 Ag2 Pb1 F8'
_cell_length_a 4.6496
_cell_length_b 7.4015
_cell_length_c 5.7315
_cell_angle_alpha 90.00
_cell_angle_beta 93.84
_cell_angle_gamma 90.00
_symmetry_space_group_name_H-M 'P 1 2/m 1'
_symmetry_Int_Tables_number 10
loop_
_symmetry_equiv_pos_as_xyz
'x,y,z'
'-x,-y,-z'
'-x,y,-z'
'x,-y,z'
loop_
_atom_site_label
_atom_site_type_symbol
_atom_site_fract_x
_atom_site_fract_y
_atom_site_fract_z
_atom_site_occupancy
Ti1 Ti 0.0000 0.0000 0.0000 1
Ag1 Ag 0.5000 0.2448 0.5000 1
Pb1 Pb 0.0000 0.5000 0.0000 1
F1 F 0.1472 0.1904 0.8164 1
F2 F 0.3256 0.0000 0.2138 1
F3 F 0.4388 0.5000 0.2457 1
```

---

3.
Computed, not measured: an optimized crystal structure of La5Hg2 at the PBE level of DFT.

Calculated formation energy = -0.254 eV per atom
M_tot = 0.00 μB/atom

Structure (CIF):
```
data_La5Hg2
_chemical_formula_sum 'La20 Hg8'
_cell_length_a 8.4505
_cell_length_b 15.4521
_cell_length_c 6.9533
_cell_angle_alpha 90.00
_cell_angle_beta 90.00
_cell_angle_gamma 90.00
_symmetry_space_group_name_H-M 'I b a m'
_symmetry_Int_Tables_number 72
_symmetry_space_group_name_Hall '-I 2 2c'
loop_
_atom_site_label
_atom_site_type_symbol
_atom_site_fract_x
_atom_site_fract_y
_atom_site_fract_z
_atom_site_occupancy
La1 La 0.0000 0.0000 0.2500 1
La2 La 0.0000 0.2321 0.2500 1
La3 La 0.1665 0.4216 0.0000 1
Hg1 Hg 0.2218 0.3714 0.5000 1
```

---

4.
Computed, not measured: an optimized crystal structure of Hg2IrRh at the PBE level of DFT.

Calculated formation energy = 0.445 eV per atom
M_tot = 0.00 μB/atom
Energy above the lowest structure with this stoichiometry = 152.0 meV/atom

Structure (CIF):
```
data_Hg2IrRh
_chemical_formula_sum 'Hg4 Ir2 Rh2'
_cell_length_a 2.9713
_cell_length_b 4.9997
_cell_length_c 9.4820
_cell_angle_alpha 90.00
_cell_angle_beta 90.00
_cell_angle_gamma 90.00
_symmetry_space_group_name_H-M 'C m m m'
_symmetry_Int_Tables_number 65
_symmetry_space_group_name_Hall '-C 2 2'
loop_
_atom_site_label
_atom_site_type_symbol
_atom_site_fract_x
_atom_site_fract_y
_atom_site_fract_z
_atom_site_occupancy
Hg1 Hg 0.0000 0.0000 0.2474 1
Ir1 Ir 0.0000 0.5000 0.5000 1
Rh1 Rh 0.0000 0.5000 0.0000 1
```

---

5.
Computed, not measured: an optimized crystal structure of KBaRh2 at the PBE level of DFT.

Calculated formation energy = 0.260 eV per atom
M_tot = 0.20 μB/atom
Energy above the lowest structure with this stoichiometry = 149.2 meV/atom

Structure (CIF):
```
data_KBaRh2
_chemical_formula_sum 'K1 Ba1 Rh2'
_cell_length_a 3.6113
_cell_length_b 3.6113
_cell_length_c 9.5452
_cell_angle_alpha 90.00
_cell_angle_beta 90.00
_cell_angle_gamma 90.00
_symmetry_space_group_name_H-M 'P 4 m m'
_symmetry_Int_Tables_number 99
loop_
_symmetry_equiv_pos_as_xyz
'x,y,z'
'-y,x,z'
'-x,-y,z'
'y,-x,z'
'-x,y,z'
'y,x,z'
'x,-y,z'
'-y,-x,z'
loop_
_atom_site_label
_atom_site_type_symbol
_atom_site_fract_x
_atom_site_fract_y
_atom_site_fract_z
_atom_site_occupancy
K1 K 0.0000 0.0000 0.0000 1
Ba1 Ba 0.5000 0.5000 0.5570 1
Rh1 Rh 0.0000 0.0000 0.3307 1
Rh2 Rh 0.5000 0.5000 0.2604 1
```

---

6.
Computed, not measured: an optimized crystal structure of RbSc3Hg at the PBE level of DFT.

Calculated formation energy = 1.404 eV per atom
M_tot = 0.00 μB/atom
Energy above the lowest structure with this stoichiometry = 947.2 meV/atom

Structure (CIF):
```
data_RbSc3Hg
_chemical_formula_sum 'Rb1 Sc3 Hg1'
_cell_length_a 5.0669
_cell_length_b 5.0669
_cell_length_c 5.0669
_cell_angle_alpha 90.00
_cell_angle_beta 90.00
_cell_angle_gamma 90.00
_symmetry_space_group_name_H-M 'P m -3 m'
_symmetry_Int_Tables_number 221
_symmetry_space_group_name_Hall '-P 4 2 3'
loop_
_atom_site_label
_atom_site_type_symbol
_atom_site_fract_x
_atom_site_fract_y
_atom_site_fract_z
_atom_site_occupancy
Rb1 Rb 0.0000 0.0000 0.0000 1
Sc1 Sc 0.0000 0.0000 0.5000 1
Hg1 Hg 0.5000 0.5000 0.5000 1
```

---

7.
Computed, not measured: an optimized crystal structure of Pm4Pd3Pb at the PBE level of DFT.

Calculated formation energy = -0.712 eV per atom
M_tot = 0.00 μB/atom

Structure (CIF):
```
data_Pm4Pd3Pb
_chemical_formula_sum 'Pm4 Pd3 Pb1'
_cell_length_a 4.0384
_cell_length_b 4.6368
_cell_length_c 11.0857
_cell_angle_alpha 90.00
_cell_angle_beta 90.00
_cell_angle_gamma 90.00
_symmetry_space_group_name_H-M 'P m m 2'
_symmetry_Int_Tables_number 25
loop_
_symmetry_equiv_pos_as_xyz
'x,y,z'
'-x,-y,z'
'-x,y,z'
'x,-y,z'
loop_
_atom_site_label
_atom_site_type_symbol
_atom_site_fract_x
_atom_site_fract_y
_atom_site_fract_z
_atom_site_occupancy
Pm1 Pm 0.0000 0.0000 0.0000 1
Pm2 Pm 0.0000 0.5000 0.2587 1
Pm3 Pm 0.5000 0.0000 0.4711 1
Pm4 Pm 0.5000 0.5000 0.7715 1
Pd1 Pd 0.0000 0.5000 0.5299 1
Pd2 Pd 0.5000 0.0000 0.2068 1
Pd3 Pd 0.5000 0.5000 0.0447 1
Pb1 Pb 0.0000 0.0000 0.7048 1
```

---

8.
Computed, not measured: an optimized crystal structure of Cd4Pt3Rh at the PBE level of DFT.

Calculated formation energy = -0.254 eV per atom
M_tot = 0.00 μB/atom

Structure (CIF):
```
data_Cd4Pt3Rh
_chemical_formula_sum 'Cd4 Pt3 Rh1'
_cell_length_a 3.0326
_cell_length_b 3.0326
_cell_length_c 15.1250
_cell_angle_alpha 90.00
_cell_angle_beta 90.00
_cell_angle_gamma 90.00
_symmetry_space_group_name_H-M 'P 4/m m m'
_symmetry_Int_Tables_number 123
_symmetry_space_group_name_Hall '-P 4 2'
loop_
_atom_site_label
_atom_site_type_symbol
_atom_site_fract_x
_atom_site_fract_y
_atom_site_fract_z
_atom_site_occupancy
Cd1 Cd 0.0000 0.0000 0.1210 1
Cd2 Cd 0.0000 0.0000 0.3734 1
Pt1 Pt 0.5000 0.5000 0.2473 1
Pt2 Pt 0.5000 0.5000 0.5000 1
Rh1 Rh 0.5000 0.5000 0.0000 1
```

---

9.
Computed, not measured: an optimized crystal structure of Sm8AgGe5 at the PBE level of DFT.

Calculated formation energy = -0.702 eV per atom
M_tot = 0.00 μB/atom

Structure (CIF):
```
data_Sm8AgGe5
_chemical_formula_sum 'Sm16 Ag2 Ge10'
_cell_length_a 9.0537
_cell_length_b 9.0537
_cell_length_c 9.1114
_cell_angle_alpha 90.00
_cell_angle_beta 90.00
_cell_angle_gamma 90.00
_symmetry_space_group_name_H-M 'I -4'
_symmetry_Int_Tables_number 82
loop_
_symmetry_equiv_pos_as_xyz
'x,y,z'
'y,-x,-z'
'-x,-y,z'
'-y,x,-z'
'x+1/2,y+1/2,z+1/2'
'y+1/2,-x+1/2,-z+1/2'
'-x+1/2,-y+1/2,z+1/2'
'-y+1/2,x+1/2,-z+1/2'
loop_
_atom_site_label
_atom_site_type_symbol
_atom_site_fract_x
_atom_site_fract_y
_atom_site_fract_z
_atom_site_occupancy
Sm1 Sm 0.0652 0.1768 0.3081 1
Sm2 Sm 0.0719 0.3124 0.9344 1
Ag1 Ag 0.0000 0.5000 0.2500 1
Ge1 Ge 0.0000 0.0000 0.0000 1
Ge2 Ge 0.1275 0.2513 0.6215 1
```

---

10.
Computed, not measured: an optimized crystal structure of Ho4Cu2Te at the PBE level of DFT.

Energy relative to the elements, uncorrected = -436 meV per atom
M_tot = 0.00 μB/atom

Structure (CIF):
```
data_Ho4Cu2Te
_chemical_formula_sum 'Ho32 Cu16 Te8'
_cell_length_a 12.7704
_cell_length_b 12.7729
_cell_length_c 8.5134
_cell_angle_alpha 90.00
_cell_angle_beta 90.00
_cell_angle_gamma 90.00
_symmetry_space_group_name_H-M 'F d d 2'
_symmetry_Int_Tables_number 43
_symmetry_space_group_name_Hall 'F 2 -2d'
loop_
_atom_site_label
_atom_site_type_symbol
_atom_site_fract_x
_atom_site_fract_y
_atom_site_fract_z
_atom_site_occupancy
Ho1 Ho 0.0556 0.1199 0.0000 1
Ho2 Ho 0.1198 0.4440 0.8455 1
Cu1 Cu 0.0616 0.1887 0.2971 1
Te1 Te 0.0000 0.0000 0.6725 1
```

---

Question: What is the formula in the second record?
Answer: TiAg2PbF8

---

Question: Which formula does entry 2 have?
Answer: TiAg2PbF8